# ScRuPt2 PBE optimized geometry
# formation energy from the elements: -0.490 eV per atom
data_ScRuPt2
_chemical_formula_sum 'Sc2 Ru2 Pt4'
_symmetry_space_group_name_H-M 'C 1 2/m 1'
_symmetry_Int_Tables_number 12
_cell_length_a 9.392
_cell_length_b 2.963
_cell_length_c 4.701
_cell_angle_alpha 90.00
_cell_angle_beta 101.64
_cell_angle_gamma 90.00
loop_
_symmetry_equiv_pos_as_xyz
'x,y,z'
'-x,-y,-z'
'-x,y,-z'
'x,-y,z'
'x+1/2,y+1/2,z'
'-x+1/2,-y+1/2,-z'
'-x+1/2,y+1/2,-z'
'x+1/2,-y+1/2,z'
loop_
_atom_site_label
_atom_site_type_symbol
_atom_site_fract_x
_atom_site_fract_y
_atom_site_fract_z
Sc1 Sc 0.000 0.000 0.000
Ru1 Ru 0.000 0.500 0.500
Pt1 Pt 0.245 0.000 0.741